8
Lattice="7.390 0.000 0.000 0.000 7.390 0.000 3.695 3.695 2.767" Properties=species:S:1:pos:R:3 comment="Ti2InRe (GGA-PBE, relaxed)" mass_density_g_cm3=8.7 e_form_ev_per_atom=0.344 n_ef_per_ev_fu=3.65 pbc="T T T"
In 3.695 7.390 1.384
In 3.695 3.695 0.000
Ti 1.509 5.543 0.692
Ti 5.543 5.204 2.075
Ti 5.881 1.848 0.692
Ti 9.238 9.576 2.075
Re 7.390 3.695 1.384
Re 0.000 0.000 0.000

=====

8
Lattice="4.488 0.000 -1.234 -0.339 4.475 -1.234 -0.426 -0.459 7.232" Properties=species:S:1:pos:R:3 comment="Ti5In2Re (GGA-PBE, relaxed)" mass_density_g_cm3=7.8 e_form_ev_per_atom=-0.237 n_ef_per_ev_fu=9.09 pbc="T T T"
In 2.896 3.124 1.756
In 0.827 0.892 3.009
Ti 0.192 2.628 0.699
Ti 2.606 0.390 0.699
Ti 1.118 3.626 4.065
Ti 2.074 2.238 -1.234
Ti 3.531 1.388 4.065
Re 0.000 0.000 0.000

=====

4
Lattice="-0.848 -3.241 3.036 -4.255 -1.327 0.762 -1.376 -4.082 -1.375" Properties=species:S:1:pos:R:3 comment="TiInRe2 (GGA-PBE, relaxed)" mass_density_g_cm3=13.6 de_polymorph_mev_per_atom=0 e_form_ev_per_atom=0.284 n_ef_per_ev_fu=5.26 pbc="T T T"
Ti 0.000 0.000 0.000
In -3.240 -4.325 1.211
Re -1.620 -2.162 0.606
Re -4.859 -6.487 1.817

=====

8
Lattice="-2.646 -3.628 -1.067 -1.852 -2.573 3.355 -7.532 2.322 0.798" Properties=species:S:1:pos:R:3 comment="Ti6InRe (GGA-PBE, relaxed)" mass_density_g_cm3=7.1 e_form_ev_per_atom=-0.123 n_ef_per_ev_fu=10.30 pbc="T T T"
Ti -8.402 -0.203 1.557
Ti -5.437 0.798 0.786
Ti -3.628 -3.676 1.529
Ti -3.032 -0.952 0.772
Ti -8.998 -2.927 2.314
Ti -6.592 -4.677 2.300
In -6.015 -1.940 1.543
Re 0.000 0.000 0.000

=====

6
Lattice="3.007 0.000 0.000 0.000 3.007 0.000 -1.504 -1.504 12.457" Properties=species:S:1:pos:R:3 comment="TiInRe (GGA-PBE, relaxed)" mass_density_g_cm3=10.3 e_form_ev_per_atom=-0.121 n_ef_per_ev_fu=2.72 pbc="T T T"
Re 1.504 1.504 5.462
Re 0.000 0.000 6.995
Ti 0.000 0.000 3.647
Ti 1.504 1.504 8.810
In 1.504 1.504 1.463
In 0.000 0.000 10.993

=====

4
Lattice="-1.815 -0.375 -2.788 3.425 -2.125 -1.943 -1.552 -3.906 1.535" Properties=species:S:1:pos:R:3 comment="Ti2InRe (GGA-PBE, relaxed)" mass_density_g_cm3=9.8 e_form_ev_per_atom=-0.213 n_ef_per_ev_fu=1.32 pbc="T T T"
In -0.907 -0.187 -1.394
Ti 1.712 -1.062 -0.972
Ti -0.776 -1.953 0.768
Re 0.029 -3.203 -1.598

=====

5
Lattice="-1.564 -2.672 -1.707 1.586 -2.307 2.159 -6.436 -2.046 5.436" Properties=species:S:1:pos:R:3 comment="TiIn2Re2 (GGA-PBE, relaxed)" mass_density_g_cm3=10.4 de_polymorph_mev_per_atom=57 e_form_ev_per_atom=0.664 n_ef_per_ev_fu=4.49 pbc="T T T"
Re -3.994 -3.603 1.977
Re -2.420 -3.421 3.910
Ti 0.000 0.000 0.000
In -1.372 -2.394 1.343
In -5.043 -4.630 4.544

=====

5
Lattice="-4.375 -0.939 1.666 -1.224 -1.820 -4.241 1.469 -4.313 1.427" Properties=species:S:1:pos:R:3 comment="Ti3InRe (GGA-PBE, relaxed)" mass_density_g_cm3=6.8 de_polymorph_mev_per_atom=0 e_form_ev_per_atom=0.488 n_ef_per_ev_fu=4.03 pbc="T T T"
In -2.065 -3.536 -0.574
Ti 0.735 -2.157 0.713
Ti -2.187 -0.470 0.833
Ti -0.612 -0.910 -2.120
Re 0.000 0.000 0.000

=====

9
Lattice="4.646 0.000 -0.182 0.000 6.073 0.000 -2.066 -3.037 6.822" Properties=species:S:1:pos:R:3 comment="Ti6In2Re (GGA-PBE, relaxed)" mass_density_g_cm3=6.1 e_form_ev_per_atom=0.299 n_ef_per_ev_fu=12.76 pbc="T T T"
Ti 2.504 1.511 4.715
Ti 2.323 4.615 -0.091
Ti 0.076 1.526 1.925
Ti 2.504 -1.511 4.715
Ti 0.076 4.548 1.925
Ti 2.323 1.459 -0.091
Re 0.000 0.000 0.000
In 2.418 3.037 2.346
In 0.162 0.000 4.294

=====

5
Lattice="4.828 0.000 0.000 0.000 4.598 0.000 0.000 0.000 4.828" Properties=species:S:1:pos:R:3 comment="TiVInRe2 (GGA-PBE, relaxed)" mass_density_g_cm3=9.1 e_form_ev_per_atom=2.377 n_ef_per_ev_fu=9.80 pbc="T T T"
In 0.000 0.000 0.000
Re 2.414 0.000 0.000
Re 0.000 0.000 2.414
Ti 2.414 2.299 2.414
V 0.000 2.299 0.000

=====

5
Lattice="-3.093 -1.517 3.388 1.980 -4.300 -0.118 3.114 1.339 3.443" Properties=species:S:1:pos:R:3 comment="ZrTiInRe2 (GGA-PBE, relaxed)" mass_density_g_cm3=9.4 e_form_ev_per_atom=1.818 n_ef_per_ev_fu=6.59 pbc="T T T"
Ti 0.990 -2.150 -0.059
Zr 0.000 0.000 0.000
Re -1.547 -0.759 1.694
Re 1.557 0.670 1.721
In 1.000 -2.239 3.356

=====

4
Lattice="4.711 0.000 0.000 0.000 3.162 0.018 0.000 -0.071 5.253" Properties=species:S:1:pos:R:3 comment="TlInRe2 (GGA-PBE, relaxed)" mass_density_g_cm3=14.7 de_polymorph_mev_per_atom=582 e_form_ev_per_atom=0.928 n_ef_per_ev_fu=3.40 pbc="T T T"
Tl 2.356 0.773 1.318
Re 0.000 0.197 5.019
Re 0.000 1.278 2.870
In 2.356 2.318 3.953

=====

3
Lattice="9.032 -0.016 0.012 8.399 2.811 -0.005 0.633 -0.950 2.664" Properties=species:S:1:pos:R:3 comment="TlInRe (GGA-PBE, relaxed)" mass_density_g_cm3=12.4 de_polymorph_mev_per_atom=5 e_form_ev_per_atom=0.835 n_ef_per_ev_fu=2.24 pbc="T T T"
In 17.034 2.707 0.069
Re 6.295 0.312 1.768
Tl 12.166 1.621 0.839

=====

4
Lattice="9.338 -0.022 -0.013 8.858 2.957 -0.013 8.858 1.429 2.589" Properties=species:S:1:pos:R:3 comment="TlInRe2 (GGA-PBE, relaxed)" mass_density_g_cm3=15.9 de_polymorph_mev_per_atom=612 e_form_ev_per_atom=0.958 n_ef_per_ev_fu=2.44 pbc="T T T"
Re 0.025 0.004 0.002
Re 13.502 2.178 1.279
Tl 6.764 1.091 0.641
In 20.291 3.273 1.922

=====

5
Lattice="-2.441 -3.206 -3.402 4.667 -1.887 -1.571 -0.262 -3.738 3.711" Properties=species:S:1:pos:R:3 comment="TlIn3Re (GGA-PBE, relaxed)" mass_density_g_cm3=8.3 de_polymorph_mev_per_atom=0 e_form_ev_per_atom=0.346 n_ef_per_ev_fu=3.39 pbc="T T T"
In 2.334 -0.943 -0.785
In -0.131 -1.869 1.855
In -1.221 -1.603 -1.701
Re 0.000 0.000 0.000
Tl 0.982 -4.416 -0.631

=====

4
Lattice="-3.926 0.907 3.334 1.431 -0.513 5.005 1.965 2.606 -4.087" Properties=species:S:1:pos:R:3 comment="TlInRe2 (GGA-PBE, relaxed)" mass_density_g_cm3=15.7 de_polymorph_mev_per_atom=810 e_form_ev_per_atom=1.156 n_ef_per_ev_fu=5.11 pbc="T T T"
Re -1.248 0.197 4.169
Re 0.000 0.000 0.000
In -1.605 1.855 1.708
Tl 1.074 1.145 2.543

=====

3
Lattice="-4.314 2.640 -5.534 -4.481 -1.571 -5.802 2.728 -0.551 6.961" Properties=species:S:1:pos:R:3 comment="TlInRe (GGA-PBE, relaxed)" mass_density_g_cm3=13.1 de_polymorph_mev_per_atom=73 e_form_ev_per_atom=0.903 n_ef_per_ev_fu=3.14 pbc="T T T"
In -8.607 1.047 -11.094
Tl -5.999 0.730 -7.732
Re -2.983 0.363 -3.846

=====

6
Lattice="0.000 4.131 4.131 4.131 0.000 4.131 4.131 4.131 0.000" Properties=species:S:1:pos:R:3 comment="TlIn4Re (GGA-PBE, relaxed)" mass_density_g_cm3=10.0 e_form_ev_per_atom=0.846 n_ef_per_ev_fu=2.04 pbc="T T T"
In 5.158 5.158 3.104
In 3.104 3.104 3.104
In 5.158 3.104 5.158
In 3.104 5.158 5.158
Tl 0.000 0.000 0.000
Re 6.196 6.196 6.196

=====

4
Lattice="9.991 -0.017 -0.010 9.551 2.931 -0.010 9.551 1.424 2.562" Properties=species:S:1:pos:R:3 comment="TlInRe2 (GGA-PBE, relaxed)" mass_density_g_cm3=15.2 de_polymorph_mev_per_atom=142 e_form_ev_per_atom=0.489 n_ef_per_ev_fu=1.56 pbc="T T T"
Tl 14.702 2.192 1.284
In 21.595 3.220 1.887
Re 28.896 4.309 2.525
Re 7.540 1.124 0.659

=====

5
Lattice="5.622 0.000 0.000 0.000 5.622 0.000 0.000 0.000 5.622" Properties=species:S:1:pos:R:3 comment="TlIn3Re (GGA-PBE, relaxed)" mass_density_g_cm3=6.9 de_polymorph_mev_per_atom=1306 e_form_ev_per_atom=1.651 n_ef_per_ev_fu=3.90 pbc="T T T"
Tl 0.000 0.000 0.000
Re 2.811 2.811 2.811
In 0.000 0.000 2.811
In 2.811 0.000 0.000
In 0.000 2.811 0.000

=====

4
Lattice="-0.488 -2.585 -1.537 3.007 -0.464 -0.174 1.262 -4.587 7.316" Properties=species:S:1:pos:R:3 comment="TlInRe2 (GGA-PBE, relaxed)" mass_density_g_cm3=14.4 de_polymorph_mev_per_atom=0 e_form_ev_per_atom=0.347 n_ef_per_ev_fu=2.30 pbc="T T T"
Re 1.024 -2.377 0.654
Re 2.812 -0.596 0.111
In 2.388 -5.193 4.959
Tl 2.700 -2.458 3.279

=====

4
Lattice="-4.914 0.470 1.341 -3.647 -1.402 3.301 -0.247 3.991 3.972" Properties=species:S:1:pos:R:3 comment="TlInRe2 (GGA-PBE, relaxed)" mass_density_g_cm3=14.6 de_polymorph_mev_per_atom=551 e_form_ev_per_atom=0.898 n_ef_per_ev_fu=2.98 pbc="T T T"
In -6.606 2.294 6.460
Re -8.757 2.827 8.359
Re -4.456 1.761 4.561
Tl -2.202 0.765 2.153

=====

4
Lattice="5.477 0.062 0.371 4.556 3.041 0.371 1.638 0.507 4.847" Properties=species:S:1:pos:R:3 comment="TlInRe2 (GGA-PBE, relaxed)" mass_density_g_cm3=14.8 de_polymorph_mev_per_atom=453 e_form_ev_per_atom=0.799 n_ef_per_ev_fu=3.32 pbc="T T T"
Re 11.242 3.477 5.393
Re 3.340 1.033 1.601
Tl 5.957 1.842 2.504
In 8.638 2.672 4.474

=====

3
Lattice="-4.540 0.945 -0.406 -2.330 -1.359 -3.794 -3.128 -3.435 0.296" Properties=species:S:1:pos:R:3 comment="TlInRe (GGA-PBE, relaxed)" mass_density_g_cm3=11.8 de_polymorph_mev_per_atom=188 e_form_ev_per_atom=1.018 n_ef_per_ev_fu=2.90 pbc="T T T"
Tl 0.000 0.000 0.000
In -4.999 -1.925 -1.952
Re -7.499 -2.888 -2.928

=====

4
Lattice="-0.019 2.281 1.821 1.623 -2.555 3.217 5.786 1.456 -1.763" Properties=species:S:1:pos:R:3 comment="TlInRe2 (GGA-PBE, relaxed)" mass_density_g_cm3=14.3 de_polymorph_mev_per_atom=634 e_form_ev_per_atom=0.981 n_ef_per_ev_fu=4.16 pbc="T T T"
In 5.142 0.955 1.197
Re 5.434 1.368 -1.656
Re 3.245 0.817 -0.989
Tl 2.249 0.227 2.078

=====

8
Lattice="-5.492 -4.899 -2.215 2.532 -5.150 5.112 -3.175 -3.980 3.340" Properties=species:S:1:pos:R:3 comment="TlInRe2 (GGA-PBE, relaxed)" mass_density_g_cm3=14.2 de_polymorph_mev_per_atom=1167 e_form_ev_per_atom=1.514 n_ef_per_ev_fu=3.68 pbc="T T T"
Re -3.477 -6.782 3.620
Re -4.985 -11.749 5.012
Re -3.879 -4.673 0.102
Re 0.072 -4.853 3.741
In -1.480 -5.024 1.449
In -1.061 -7.077 4.951
Tl 0.000 0.000 0.000
Tl -5.073 -6.952 1.287

=====

3
Lattice="-0.036 -5.345 1.161 2.039 -3.808 -3.356 0.809 4.526 2.964" Properties=species:S:1:pos:R:3 comment="TlInRe (GGA-PBE, relaxed)" mass_density_g_cm3=13.8 de_polymorph_mev_per_atom=77 e_form_ev_per_atom=0.908 n_ef_per_ev_fu=2.20 pbc="T T T"
Tl 1.349 -6.161 -1.477
Re 0.691 -3.157 -0.757
In 1.968 -8.990 -2.155

=====

3
Lattice="-2.535 0.656 -1.655 1.988 -2.156 -1.000 -3.844 -5.300 3.786" Properties=species:S:1:pos:R:3 comment="TlInRe (GGA-PBE, relaxed)" mass_density_g_cm3=13.3 de_polymorph_mev_per_atom=0 e_form_ev_per_atom=0.830 n_ef_per_ev_fu=2.12 pbc="T T T"
Tl -1.997 -4.634 1.221
In -0.115 -0.158 0.113
Re -2.280 -2.008 -0.204

=====

4
Lattice="0.000 3.299 3.299 3.299 0.000 3.299 3.299 3.299 0.000" Properties=species:S:1:pos:R:3 comment="TlInRe2 (GGA-PBE, relaxed)" mass_density_g_cm3=16.0 de_polymorph_mev_per_atom=815 e_form_ev_per_atom=1.161 n_ef_per_ev_fu=8.22 pbc="T T T"
Re 1.650 1.650 1.650
Re 4.949 4.949 4.949
In 0.000 0.000 0.000
Tl 3.299 3.299 3.299